CsMgMoF6 | Alexandria | PBE with a Hubbard U | relaxed; density of states at the Fermi level = 0.000 states/eV/atom; DFT total energy = -95.74 eV/cell; ρ = 3.88 Mg/m³; SG = No. 74
1.0
-3.7680 3.8696 5.3912
3.7680 -3.8696 5.3912
3.7680 3.8696 -5.3912
Cs Mg Mo F
2 2 2 12
Cartesian
0.0000 1.9348 1.0095
3.7680 1.9348 4.3816
1.8840 1.9348 -2.6956
1.8840 -1.9348 2.6956
3.7680 0.0000 0.0000
0.0000 0.0000 5.3912
3.7680 -1.9348 3.2318
2.2089 -0.4908 1.3007
5.3270 -0.4908 1.3007
2.2089 3.3788 -1.3007
1.5590 -0.4908 4.0905
3.7680 1.9348 0.8816
0.0000 1.9348 4.5096
2.2089 4.3604 1.3007
1.5590 0.4908 6.6918
-1.5590 4.3604 4.0905
1.5590 4.3604 4.0905
0.0000 5.8044 2.1594